NaAs2Pt2 after structural relaxation. Source: the Alexandria database, functional PBE-GGA.

Cell lengths 6.894, 11.754, 5.979 Å; angles 90.00, 109.79, 90.00 degrees
Space group C2/c (No. 15)
Asymmetric unit:
1 Na 0.000 0.093 0.250 x4
2 As 0.000 0.188 0.750 x4
3 As 0.000 0.466 0.250 x4
4 Pt 0.164 0.362 0.983 x8

Crystal system: monoclinic
Energy relative to the elements: -1.81 eV per formula unit
V: 456 Å³ per cell
Calculated density: 8.20 g cm⁻³